First-principles (PBE-GGA) data for a relaxed Cd4In5Ga2 crystal, as listed in the Alexandria database.

**Density of states at the Fermi level**: 2.9 states/eV/f.u.
**V**: 564.8 Å³/cell

Unit cell a=22.724 b=3.171 c=8.003 alpha=90.00 beta=101.63 gamma=90.00
Space group C2/m (No. 12)
Inequivalent atoms, fractional coordinates:
Cd1 0.002 0.000 0.321
Cd2 0.120 0.500 0.269
In1 0.000 0.500 0.000
In2 0.123 0.000 0.620
In3 0.186 0.000 0.007
Ga1 0.249 0.500 0.351

***

First-principles (PBE-GGA) data for a relaxed CuMoPb2 crystal, as listed in the Alexandria database.

**Density of states at the Fermi level**: 2.5 states/eV/f.u.
**V**: 249.8 Å³/cell

Unit cell a=3.2910 b=3.2910 c=26.6349 alpha=90.00 beta=90.00 gamma=120.00
Space group R-3m (No. 166, hexagonal axes)
Inequivalent atoms, fractional coordinates:
Cu1 0.0000 0.0000 0.0000
Mo1 0.0000 0.0000 0.5000
Pb1 0.0000 0.0000 0.2517

***

First-principles (PBE-GGA) data for a relaxed MgSi2Mo2 crystal, as listed in the Alexandria database.

**Density of states at the Fermi level**: 0.1 states/eV/f.u.
**V**: 147.5 Å³/cell
**Formation energy without anion corrections**: -341 meV/atom

Unit cell a=6.653 b=6.653 c=3.332 alpha=90.00 beta=90.00 gamma=90.00
Space group P4/mbm (No. 127)
Inequivalent atoms, fractional coordinates:
Mg1 0.000 0.000 0.000
Si1 0.129 0.371 0.000
Mo1 0.166 0.666 0.500

***

First-principles (PBE-GGA) data for a relaxed PaHF crystal, as listed in the Alexandria database.

**Density of states at the Fermi level**: 1.8 states/eV/f.u.
**V**: 44.6 Å³/cell

Unit cell a=4.0742 b=4.0742 c=3.1016 alpha=90.00 beta=90.00 gamma=120.00
Space group P3m1 (No. 156)
Inequivalent atoms, fractional coordinates:
Pa1 0.0000 0.0000 0.0000
H1 0.6667 0.3333 0.4980
F1 0.3333 0.6667 0.9998

***

First-principles (PBE-GGA) data for a relaxed Ba2ScTl2O6 crystal, as listed in the Alexandria database.

**Density of states at the Fermi level**: 3.2 states/eV/f.u.
**V**: 631.0 Å³/cell
**Formation energy without anion corrections**: -1795 meV/atom

Unit cell a=6.4148 b=6.4148 c=17.7072 alpha=90.00 beta=90.00 gamma=120.00
Space group R-3m (No. 166, hexagonal axes)
Inequivalent atoms, fractional coordinates:
Ba1 0.0000 0.0000 0.2001
Sc1 0.0000 0.0000 0.0000
Tl1 0.0000 0.0000 0.3949
O1 0.0473 0.5236 0.7491

***

First-principles (PBE-GGA) data for a relaxed SrCuRu2 crystal, as listed in the Alexandria database.

**Density of states at the Fermi level**: 6.6 states/eV/f.u.
**V**: 146.1 Å³/cell

Unit cell a=2.963 b=5.020 c=9.823 alpha=90.00 beta=90.00 gamma=90.00
Space group Imm2 (No. 44)
Inequivalent atoms, fractional coordinates:
Sr1 0.000 0.000 0.000
Cu1 0.000 0.500 0.781
Ru1 0.000 0.000 0.506
Ru2 0.000 0.500 0.216

***

| no. | VASP energy (eV per atom) |
| --- | --- |
| 1 | -2.047 |
| 2 | -4.957 |
| 3 | -7.161 |
| 4 | -6.105 |
| 5 | -5.855 |
| 6 | -5.378 |